The following is a DFT calculation (PBE) of crystalline Tb3Sb2N at its relaxed geometry.

Computed properties:
calculated volume = 23.937 Å³ per atom
space-group type = No. 164
electronic total energy = -36.747 eV/f.u.
magnetic moment = 0.0 μB/f.u.

abc: 3.9374 3.9374 10.6975
angles: 90.00 90.00 120.00
Positions (direct):
Tb1 0.0000 0.0000 0.0000
Tb2 0.3333 0.6667 0.3796
Tb3 0.6667 0.3333 0.6204
Sb1 0.3333 0.6667 0.8134
Sb2 0.6667 0.3333 0.1866
N1 0.0000 0.0000 0.5000

***

The following is a DFT calculation (PBE) of crystalline Tb3Sb3W2N12 at its relaxed geometry.

Computed properties:
calculated volume = 13.306 Å³ per atom
space-group type = No. 230
electronic total energy = -159.151 eV/f.u.
magnetic moment = 0.0 μB/f.u.

abc: 11.1410 11.1410 11.1410
angles: 109.47 109.47 109.47
Positions (direct):
Tb1 0.1250 0.2500 0.3750
Tb2 0.1250 0.3750 0.7500
Tb3 0.2500 0.3750 0.1250
Tb4 0.2500 0.8750 0.6250
Tb5 0.3750 0.1250 0.2500
Tb6 0.3750 0.7500 0.1250
Tb7 0.6250 0.2500 0.8750
Tb8 0.6250 0.8750 0.7500
Tb9 0.7500 0.1250 0.3750
Tb10 0.7500 0.6250 0.8750
Tb11 0.8750 0.6250 0.2500
Tb12 0.8750 0.7500 0.6250
Sb1 0.1250 0.7500 0.8750
Sb2 0.1250 0.8750 0.2500
Sb3 0.2500 0.1250 0.8750
Sb4 0.2500 0.6250 0.3750
Sb5 0.3750 0.2500 0.6250
Sb6 0.3750 0.6250 0.7500
Sb7 0.6250 0.3750 0.2500
Sb8 0.6250 0.7500 0.3750
Sb9 0.7500 0.3750 0.6250
Sb10 0.7500 0.8750 0.1250
Sb11 0.8750 0.1250 0.7500
Sb12 0.8750 0.2500 0.1250
W1 0.0000 0.0000 0.0000
W2 0.0000 0.0000 0.5000
W3 0.0000 0.5000 0.0000
W4 0.0000 0.5000 0.5000
W5 0.5000 0.0000 0.0000
W6 0.5000 0.0000 0.5000
W7 0.5000 0.5000 0.0000
W8 0.5000 0.5000 0.5000
N1 0.0290 0.2014 0.1168
N2 0.0290 0.3276 0.9123
N3 0.0846 0.7014 0.6724
N4 0.0846 0.8832 0.4123
N5 0.0877 0.6168 0.4154
N6 0.0877 0.9710 0.6724
N7 0.1168 0.0290 0.2014
N8 0.1168 0.5877 0.9154
N9 0.1724 0.2014 0.5846
N10 0.1724 0.4710 0.5877
N11 0.2014 0.1168 0.0290
N12 0.2014 0.5846 0.1724
N13 0.2986 0.3276 0.9154
N14 0.2986 0.4710 0.3832
N15 0.3276 0.9123 0.0290
N16 0.3276 0.9154 0.2986
N17 0.3832 0.2986 0.4710
N18 0.3832 0.5846 0.9123
N19 0.4123 0.0846 0.8832
N20 0.4123 0.8276 0.5290
N21 0.4154 0.0877 0.6168
N22 0.4154 0.8276 0.7986
N23 0.4710 0.3832 0.2986
N24 0.4710 0.5877 0.1724
N25 0.5290 0.4123 0.8276
N26 0.5290 0.6168 0.7014
N27 0.5846 0.1724 0.2014
N28 0.5846 0.9123 0.3832
N29 0.5877 0.1724 0.4710
N30 0.5877 0.9154 0.1168
N31 0.6168 0.4154 0.0877
N32 0.6168 0.7014 0.5290
N33 0.6724 0.0846 0.7014
N34 0.6724 0.0877 0.9710
N35 0.7014 0.5290 0.6168
N36 0.7014 0.6724 0.0846
N37 0.7986 0.4154 0.8276
N38 0.7986 0.8832 0.9710
N39 0.8276 0.5290 0.4123
N40 0.8276 0.7986 0.4154
N41 0.8832 0.4123 0.0846
N42 0.8832 0.9710 0.7986
N43 0.9123 0.0290 0.3276
N44 0.9123 0.3832 0.5846
N45 0.9154 0.1168 0.5877
N46 0.9154 0.2986 0.3276
N47 0.9710 0.6724 0.0877
N48 0.9710 0.7986 0.8832

***

The following is a DFT calculation (PBE) of crystalline TlSbW4N2 at its relaxed geometry.

Computed properties:
calculated volume = 14.618 Å³ per atom
space-group type = No. 187
electronic total energy = -70.465 eV/f.u.
magnetic moment = 0.0 μB/f.u.

abc: 3.0522 3.0522 14.4959
angles: 90.00 90.00 120.00
Positions (direct):
Tl1 0.0000 0.0000 0.0000
Sb1 0.3333 0.6667 0.5000
W1 0.0000 0.0000 0.3449
W2 0.0000 0.0000 0.6551
W3 0.3333 0.6667 0.1688
W4 0.3333 0.6667 0.8312
N1 0.6667 0.3333 0.2562
N2 0.6667 0.3333 0.7438

***

- What is the formula in the third record?
  TlSbW4N2